[1]
Below is a relaxed structure of Na2MnPbI6, with properties calculated at the PBE-GGA level.

**D(E_F)**: 0.0 states/eV/cell
**Energy relative to the elements, uncorrected**: -0.789 eV/atom
**E**: -3.27 eV per atom
**Total moment**: 5.00 μB per formula unit

a b c (Å): 7.9255 7.9246 8.4470
angles (deg): 62.02 62.01 59.99
Closest atoms and distances in Å follow each position.
Fractional positions:
Na: 0.5188 0.5189 0.4434  6 I 3.22-3.29
Na: 0.0122 0.0123 0.9632  6 I 3.18-3.28
Mn: 0.3243 0.3243 0.0274  6 I 2.90-2.97
Pb: 0.8215 0.8212 0.5360  6 I 3.21-3.33
I: 0.5725 0.2268 0.2448  1 Mn 2.90, 1 Na 3.22
I: 0.2268 0.9559 0.2448  1 Mn 2.90, 1 Na 3.22
I: 0.9559 0.5725 0.2448  1 Mn 2.90, 1 Na 3.22
I: 0.4207 0.6993 0.7702  1 Mn 2.97, 2 Na 3.18-3.29, 1 Pb 3.21
I: 0.6992 0.1097 0.7703  1 Mn 2.96, 2 Na 3.18-3.29, 1 Pb 3.21
I: 0.1098 0.4207 0.7703  1 Mn 2.97, 2 Na 3.18-3.29, 1 Pb 3.21

=====

[2]
Below is a relaxed structure of BrF, with properties calculated at the PBE-GGA level.

**D(E_F)**: 0.6 states/eV/cell
**Energy relative to the elements, uncorrected**: -0.332 eV/atom
**E**: -2.10 eV per atom
**Total moment**: 0.00 μB per formula unit

a b c (Å): 7.5768 7.5768 3.9854
angles (deg): 90.00 90.00 90.00
Closest atoms and distances in Å follow each position.
Fractional positions:
Br: 0.7981 0.7981 0.0000  2 F 2.04
Br: 0.2981 0.7019 0.5000  2 F 2.04
Br: 0.7019 0.2981 0.5000  2 F 2.04
Br: 0.2019 0.2019 0.0000  2 F 2.04
F: 0.6629 0.3371 0.0000  2 Br 2.04
F: 0.1629 0.1629 0.5000  2 Br 2.04
F: 0.8371 0.8371 0.5000  2 Br 2.04
F: 0.3371 0.6629 0.0000  2 Br 2.04

=====

[3]
Below is a relaxed structure of Tb2Th3, with properties calculated at the PBE-GGA level.

**D(E_F)**: 15.7 states/eV/cell
**E**: -5.84 eV per atom
**Total moment**: 0.00 μB per formula unit
**ΔE_f**: 45.1 kJ/mol of atoms

a b c (Å): 5.5976 9.6134 12.1622
angles (deg): 66.72 71.40 36.19
Closest atoms and distances in Å follow each position.
Fractional positions:
Tb: 0.0000 0.8717 0.2565  4 Th 3.15-3.32, 2 Tb 3.19
Tb: 0.0000 0.1283 0.7435  4 Th 3.15-3.32, 2 Tb 3.19
Tb: 0.5000 0.5000 0.5000  4 Tb 3.19-3.32
Tb: 0.5000 0.0000 0.5000  4 Tb 3.19-3.32
Th: 0.4703 0.7136 0.0000  2 Tb 3.32, 6 Th 3.35-3.65
Th: 0.5297 0.2864 0.0000  2 Tb 3.32, 6 Th 3.35-3.65
Th: 0.0145 0.4315 0.7739  1 Tb 3.15, 2 Th 3.36-3.38
Th: 0.9855 0.7946 0.7739  1 Tb 3.15, 2 Th 3.36-3.38
Th: 0.0145 0.2054 0.2261  1 Tb 3.15, 2 Th 3.36-3.38
Th: 0.9855 0.5685 0.2261  1 Tb 3.15, 2 Th 3.36-3.38

=====

[4]
Below is a relaxed structure of Hf2Al5ZnFe2, with properties calculated at the PBE-GGA level.

**D(E_F)**: 16.6 states/eV/cell
**E**: -5.98 eV per atom
**Total moment**: 0.00 μB per formula unit
**ΔE_f**: -29.1 kJ/mol of atoms

a b c (Å): 3.9879 8.8897 8.8897
angles (deg): 90.00 90.00 90.00
Closest atoms and distances in Å follow each position.
Fractional positions:
Hf: 0.0000 0.6767 0.1767  3 Fe 2.62-2.65
Hf: 0.0000 0.3233 0.8233  3 Fe 2.62-2.65
Hf: 0.0000 0.1767 0.3233  3 Fe 2.62-2.65
Hf: 0.0000 0.8233 0.6767  3 Fe 2.62-2.65
Al: 0.5000 0.2130 0.0678  2 Fe 2.55, 4 Al 2.62-2.81, 2 Zn 2.82
Al: 0.5000 0.7870 0.9322  2 Fe 2.55, 4 Al 2.62-2.81, 2 Zn 2.82
Al: 0.5000 0.0678 0.7870  2 Fe 2.55, 4 Al 2.62-2.81, 2 Zn 2.82
Al: 0.5000 0.7130 0.4322  2 Fe 2.55, 4 Al 2.62-2.81, 2 Zn 2.82
Al: 0.5000 0.9322 0.2130  2 Fe 2.55, 4 Al 2.62-2.81, 2 Zn 2.82
Al: 0.5000 0.2870 0.5678  2 Fe 2.55, 4 Al 2.62-2.81, 2 Zn 2.82
Al: 0.5000 0.5678 0.7130  2 Fe 2.55, 4 Al 2.62-2.81, 2 Zn 2.82
Al: 0.5000 0.4322 0.2870  2 Fe 2.55, 4 Al 2.62-2.81, 2 Zn 2.82
Al: 0.5000 0.5000 0.0000  4 Fe 2.46, 4 Al 2.62
Al: 0.5000 0.0000 0.5000  4 Fe 2.46, 4 Al 2.62
Zn: 0.0000 0.0000 0.0000  8 Al 2.82
Zn: 0.0000 0.5000 0.5000  8 Al 2.82
Fe: 0.0000 0.1148 0.6148  6 Al 2.46-2.55, 3 Hf 2.62-2.65
Fe: 0.0000 0.8852 0.3852  6 Al 2.46-2.55, 3 Hf 2.62-2.65
Fe: 0.0000 0.6148 0.8852  6 Al 2.46-2.55, 3 Hf 2.62-2.65
Fe: 0.0000 0.3852 0.1148  6 Al 2.46-2.55, 3 Hf 2.62-2.65

=====

[5]
Below is a relaxed structure of AcLa6Y2Tm, with properties calculated at the PBE-GGA level.

**D(E_F)**: 30.1 states/eV/cell
**E**: -4.99 eV per atom
**Total moment**: 0.00 μB per formula unit
**ΔE_f**: 10.9 kJ/mol of atoms

a b c (Å): 9.8124 9.1286 9.1286
angles (deg): 116.19 93.09 93.09
Closest atoms and distances in Å follow each position.
Fractional positions:
Ac: 0.2500 0.9670 0.0330  4 Y 3.55-3.66, 6 La 3.70-3.84
Ac: 0.7500 0.0330 0.9670  4 Y 3.55-3.66, 6 La 3.70-3.84
La: 0.0559 0.1139 0.7589  7 La 3.58-3.93, 1 Y 3.70, 2 Ac 3.80-3.84
La: 0.4441 0.2411 0.8861  7 La 3.58-3.93, 1 Y 3.70, 2 Ac 3.80-3.84
La: 0.9441 0.8861 0.2411  7 La 3.58-3.93, 1 Y 3.70, 2 Ac 3.80-3.84
La: 0.5559 0.7589 0.1139  7 La 3.58-3.93, 1 Y 3.70, 2 Ac 3.80-3.84
La: 0.3131 0.0027 0.4510  3 La 3.34-3.72, 1 Tm 3.49, 1 Y 3.58, 1 Ac 3.70
La: 0.1869 0.5490 0.9973  3 La 3.34-3.72, 1 Tm 3.49, 1 Y 3.58, 1 Ac 3.70
La: 0.6869 0.9973 0.5490  3 La 3.34-3.72, 1 Tm 3.49, 1 Y 3.58, 1 Ac 3.70
La: 0.8131 0.4510 0.0027  3 La 3.34-3.72, 1 Tm 3.49, 1 Y 3.58, 1 Ac 3.70
La: 0.1193 0.7058 0.4788  3 La 3.27-3.58, 3 Y 3.39-3.57, 1 Tm 3.51
La: 0.3807 0.5212 0.2942  3 La 3.27-3.58, 3 Y 3.39-3.57, 1 Tm 3.51
La: 0.8807 0.2942 0.5212  3 La 3.27-3.58, 3 Y 3.39-3.57, 1 Tm 3.51
La: 0.6193 0.4788 0.7058  3 La 3.27-3.58, 3 Y 3.39-3.57, 1 Tm 3.51
Y: 0.4502 0.7904 0.6950  6 La 3.39-3.78, 2 Ac 3.55-3.66, 1 Tm 3.57
Y: 0.0498 0.3050 0.2096  6 La 3.39-3.78, 2 Ac 3.55-3.66, 1 Tm 3.57
Y: 0.5498 0.2096 0.3050  6 La 3.39-3.78, 2 Ac 3.55-3.66, 1 Tm 3.57
Y: 0.9502 0.6950 0.7904  6 La 3.39-3.78, 2 Ac 3.55-3.66, 1 Tm 3.57
Tm: 0.2500 0.4130 0.5870  6 La 3.49-3.67, 2 Y 3.57
Tm: 0.7500 0.5870 0.4130  6 La 3.49-3.67, 2 Y 3.57

=====

[6]
Below is a relaxed structure of DyAlO, with properties calculated at the PBE-GGA level.

**D(E_F)**: 1.8 states/eV/cell
**Energy relative to the elements, uncorrected**: -1.891 eV/atom
**E**: -6.33 eV per atom
**Total moment**: 0.00 μB per formula unit

a b c (Å): 3.1844 3.1844 10.0448
angles (deg): 90.00 90.00 90.00
Closest atoms and distances in Å follow each position.
Fractional positions:
Al: 0.0000 0.5000 0.5901  8 Al 2.89-3.18
Al: 0.5000 0.0000 0.4098  8 Al 2.89-3.18
Dy: 0.0000 0.5000 0.1468  5 O 2.33-2.35
Dy: 0.5000 0.0000 0.8532  5 O 2.33-2.35
O: 0.5000 0.0000 0.0871  5 Dy 2.33-2.35
O: 0.0000 0.5000 0.9129  5 Dy 2.33-2.35

=====

[7]
Below is a relaxed structure of NbTl2GaCu, with properties calculated at the PBE-GGA level.

**D(E_F)**: 4.8 states/eV/cell
**E**: -3.53 eV per atom
**Total moment**: 2.56 μB per formula unit
**ΔE_f**: 82.7 kJ/mol of atoms

a b c (Å): 5.1643 4.4944 5.1643
angles (deg): 90.00 90.00 90.00
Closest atoms and distances in Å follow each position.
Fractional positions:
Tl: 0.0000 0.0000 0.5000  2 Cu 2.58
Tl: 0.5000 0.0000 0.0000  2 Cu 2.58
Cu: 0.0000 0.0000 0.0000  2 Ga 2.25
Nb: 0.5000 0.5000 0.5000  8 Tl 3.42, 4 Ga 3.65
Ga: 0.0000 0.5000 0.0000  2 Cu 2.25

=====

[8]
Below is a relaxed structure of BePdSe, with properties calculated at the PBE-GGA level.

**D(E_F)**: 0.0 states/eV/cell
**Energy relative to the elements, uncorrected**: -0.303 eV/atom
**E**: -4.44 eV per atom
**Total moment**: 0.00 μB per formula unit

a b c (Å): 3.5925 6.8194 4.4872
angles (deg): 90.07 66.42 89.74
Closest atoms and distances in Å follow each position.
Fractional positions:
Be: 0.7275 0.5919 0.8595  2 Pd 2.22-2.33, 2 Se 2.23
Be: 0.1799 0.9031 0.9539  3 Se 2.27-2.34, 3 Pd 2.42-2.50
Pd: 0.8754 0.8818 0.5605  4 Be 2.33-2.50, 2 Se 2.52-2.53
Pd: 0.8827 0.3159 0.5717  1 Be 2.22, 1 Se 2.46
Se: 0.6276 0.0982 0.0573  2 Be 2.27-2.28, 2 Pd 2.49-2.52
Se: 0.0671 0.5892 0.1815  3 Be 2.23-2.34, 1 Pd 2.46

=====

[9]
Below is a relaxed structure of NdThIrRh, with properties calculated at the PBE-GGA level.

**D(E_F)**: 2.1 states/eV/cell
**E**: -7.95 eV per atom
**Total moment**: 0.00 μB per formula unit
**ΔE_f**: -81.9 kJ/mol of atoms

a b c (Å): 3.9483 4.2150 5.9327
angles (deg): 90.00 109.44 90.00
Closest atoms and distances in Å follow each position.
Fractional positions:
Nd: 0.1391 0.0000 0.2782  4 Rh 2.94, 3 Ir 3.00-3.26
Th: 0.8619 0.5000 0.7238  4 Ir 2.93, 3 Rh 3.03-3.24
Ir: 0.4076 0.0000 0.8152  4 Th 2.93, 2 Rh 2.95, 3 Nd 3.00-3.26
Rh: 0.5914 0.5000 0.1829  4 Nd 2.94, 2 Ir 2.95, 3 Th 3.03-3.24

=====

[10]
Below is a relaxed structure of MnNiW3, with properties calculated at the PBE-GGA level.

**D(E_F)**: 4.4 states/eV/cell
**E**: -9.27 eV per atom
**Total moment**: 0.00 μB per formula unit
**ΔE_f**: 143.8 kJ/mol of atoms

a b c (Å): 4.4267 4.4267 4.4267
angles (deg): 90.00 90.00 90.00
Closest atoms and distances in Å follow each position.
Fractional positions:
Ni: 0.5000 0.5000 0.5000  12 W 3.13
Mn: 0.0000 0.0000 0.0000  6 W 2.21
W: 0.0000 0.5000 0.0000  2 Mn 2.21
W: 0.0000 0.0000 0.5000  2 Mn 2.21
W: 0.5000 0.0000 0.0000  2 Mn 2.21

=====

[11]
Below is a relaxed structure of La2MgAg, with properties calculated at the PBE-GGA level.

**D(E_F)**: 3.8 states/eV/cell
**E**: -3.70 eV per atom
**Total moment**: 0.00 μB per formula unit
**ΔE_f**: -12.3 kJ/mol of atoms

a b c (Å): 5.0079 3.5959 6.7257
angles (deg): 74.41 90.00 90.00
Closest atoms and distances in Å follow each position.
Fractional positions:
Mg: 0.0000 0.6865 0.5033  2 Ag 2.97
Ag: 0.5000 0.5620 0.7509  2 Mg 2.97
La: 0.0000 0.9636 0.9462  4 Ag 3.33, 3 Mg 3.39-3.61, 2 La 3.60
La: 0.5000 0.2879 0.2996  4 Mg 3.35-3.36, 3 Ag 3.43-3.55, 2 La 3.60

=====

[12]
Below is a relaxed structure of Tm2HgBi, with properties calculated at the PBE-GGA level.

**D(E_F)**: 3.2 states/eV/cell
**E**: -3.74 eV per atom
**Total moment**: 0.00 μB per formula unit
**ΔE_f**: -44.7 kJ/mol of atoms

a b c (Å): 4.2655 4.2655 7.8426
angles (deg): 74.22 74.22 60.00
Closest atoms and distances in Å follow each position.
Fractional positions:
Tm: 0.2503 0.2503 0.2490  3 Hg 3.08, 3 Bi 3.09
Tm: 0.7497 0.7497 0.7510  3 Hg 3.08, 3 Bi 3.09
Bi: 0.5000 0.5000 0.5000  6 Tm 3.09
Hg: 0.0000 0.0000 0.0000  6 Tm 3.08

=====

- Among the records above, which one has the highest total moment?
  Na2MnPbI6

=====

- Which value of total moment does entry 6 give?
  0.00 μB per formula unit

=====

- Which of these has the highest E?
  BrF